(1)
# PBE Ba2HgBiSe4, relaxed
# Raw formation energy in eV per atom: -0.997
# V in Å³ per atom: 32.7
# Calculated total energy in eV/cell: -119.8
data_Ba2HgBiSe4
_chemical_formula_sum 'Ba8 Hg4 Bi4 Se16'
_symmetry_space_group_name_H-M 'I m m a'
_symmetry_Int_Tables_number 74
_symmetry_space_group_name_Hall '-I 2b 2'
_cell_length_a 8.974
_cell_length_b 9.079
_cell_length_c 12.829
_cell_angle_alpha 90.00
_cell_angle_beta 90.00
_cell_angle_gamma 90.00
loop_
_atom_site_label
_atom_site_type_symbol
_atom_site_fract_x
_atom_site_fract_y
_atom_site_fract_z
_atom_site_occupancy
Ba1 Ba 0.000 0.000 0.000 1
Ba2 Ba 0.250 0.250 0.250 1
Hg1 Hg 0.000 0.000 0.500 1
Bi1 Bi 0.250 0.250 0.750 1
Se1 Se 0.000 0.022 0.749 1
Se2 Se 0.240 0.250 0.514 1

***

(2)
# PBE Ba2Sn4Hg3Bi, relaxed
# DFT formation energy in eV/atom: -0.34
# V in Å³ per atom: 32.3
# Calculated total energy in eV/cell: -28.0
data_Ba2Sn4Hg3Bi
_chemical_formula_sum 'Ba2 Sn4 Hg3 Bi1'
_symmetry_space_group_name_H-M 'P -4 m 2'
_symmetry_Int_Tables_number 115
_cell_length_a 5.374
_cell_length_b 5.374
_cell_length_c 11.181
_cell_angle_alpha 90.00
_cell_angle_beta 90.00
_cell_angle_gamma 90.00
loop_
_symmetry_equiv_pos_as_xyz
'x,y,z'
'y,-x,-z'
'-x,-y,z'
'-y,x,-z'
'-x,y,z'
'-y,-x,-z'
'x,-y,z'
'y,x,-z'
loop_
_atom_site_label
_atom_site_type_symbol
_atom_site_fract_x
_atom_site_fract_y
_atom_site_fract_z
_atom_site_occupancy
Ba1 Ba 0.000 0.500 0.245 1
Sn1 Sn 0.000 0.000 0.000 1
Sn2 Sn 0.000 0.500 0.628 1
Sn3 Sn 0.500 0.500 0.000 1
Hg1 Hg 0.000 0.500 0.882 1
Hg2 Hg 0.500 0.500 0.500 1
Bi1 Bi 0.000 0.000 0.500 1

***

(3)
# PBE BaSn2HgBi, relaxed
# DFT formation energy in eV/atom: -0.32
# V in Å³ per atom: 33.7
# Calculated total energy in eV/cell: -31.4
data_BaSn2HgBi
_chemical_formula_sum 'Ba2 Sn4 Hg2 Bi2'
_symmetry_space_group_name_H-M 'I m m 2'
_symmetry_Int_Tables_number 44
_cell_length_a 4.736
_cell_length_b 5.296
_cell_length_c 13.428
_cell_angle_alpha 90.00
_cell_angle_beta 90.00
_cell_angle_gamma 90.00
loop_
_symmetry_equiv_pos_as_xyz
'x,y,z'
'-x,-y,z'
'-x,y,z'
'x,-y,z'
'x+1/2,y+1/2,z+1/2'
'-x+1/2,-y+1/2,z+1/2'
'-x+1/2,y+1/2,z+1/2'
'x+1/2,-y+1/2,z+1/2'
loop_
_atom_site_label
_atom_site_type_symbol
_atom_site_fract_x
_atom_site_fract_y
_atom_site_fract_z
_atom_site_occupancy
Ba1 Ba 0.000 0.000 0.000 1
Sn1 Sn 0.000 0.000 0.609 1
Sn2 Sn 0.000 0.500 0.260 1
Hg1 Hg 0.000 0.000 0.391 1
Bi1 Bi 0.000 0.500 0.739 1

***

(4)
# PBE BaSnHgBi, relaxed
# DFT formation energy in eV/atom: -0.35
# V in Å³ per atom: 38.2
# E above lowest polymorph in eV per formula unit: 0.08
# Calculated total energy in eV/cell: -11.5
data_BaSnHgBi
_chemical_formula_sum 'Ba1 Sn1 Hg1 Bi1'
_symmetry_space_group_name_H-M 'P 3 m 1'
_symmetry_Int_Tables_number 156
_cell_length_a 5.2797
_cell_length_b 5.2797
_cell_length_c 6.3295
_cell_angle_alpha 90.00
_cell_angle_beta 90.00
_cell_angle_gamma 120.00
loop_
_symmetry_equiv_pos_as_xyz
'x,y,z'
'-y,x-y,z'
'-x+y,-x,z'
'-y,-x,z'
'-x+y,y,z'
'x,x-y,z'
loop_
_atom_site_label
_atom_site_type_symbol
_atom_site_fract_x
_atom_site_fract_y
_atom_site_fract_z
_atom_site_occupancy
Ba1 Ba 0.0000 0.0000 0.0000 1
Sn1 Sn 0.3333 0.6667 0.2975 1
Hg1 Hg 0.3333 0.6667 0.7524 1
Bi1 Bi 0.6667 0.3333 0.4522 1

***

(5)
# PBE Ba3Sn2Hg6Bi, relaxed
# DFT formation energy in eV/atom: -0.32
# V in Å³ per atom: 32.8
# Calculated total energy in eV/cell: -23.3
data_Ba3Sn2Hg6Bi
_chemical_formula_sum 'Ba3 Sn2 Hg6 Bi1'
_symmetry_space_group_name_H-M 'P -3 m 1'
_symmetry_Int_Tables_number 164
_symmetry_space_group_name_Hall '-P 3 2"'
_cell_length_a 6.1450
_cell_length_b 6.1450
_cell_length_c 12.0411
_cell_angle_alpha 90.00
_cell_angle_beta 90.00
_cell_angle_gamma 120.00
loop_
_atom_site_label
_atom_site_type_symbol
_atom_site_fract_x
_atom_site_fract_y
_atom_site_fract_z
_atom_site_occupancy
Ba1 Ba 0.0000 0.0000 0.0000 1
Ba2 Ba 0.3333 0.6667 0.6016 1
Sn1 Sn 0.3333 0.6667 0.9112 1
Hg1 Hg 0.1703 0.3406 0.2471 1
Bi1 Bi 0.0000 0.0000 0.5000 1

***

(6)
# PBE Ba2Sn3Hg4Bi, relaxed
# DFT formation energy in eV/atom: -0.38
# V in Å³ per atom: 31.4
# Calculated total energy in eV/cell: -24.8
data_Ba2Sn3Hg4Bi
_chemical_formula_sum 'Ba2 Sn3 Hg4 Bi1'
_symmetry_space_group_name_H-M 'P -4 m 2'
_symmetry_Int_Tables_number 115
_cell_length_a 5.111
_cell_length_b 5.111
_cell_length_c 12.030
_cell_angle_alpha 90.00
_cell_angle_beta 90.00
_cell_angle_gamma 90.00
loop_
_symmetry_equiv_pos_as_xyz
'x,y,z'
'y,-x,-z'
'-x,-y,z'
'-y,x,-z'
'-x,y,z'
'-y,-x,-z'
'x,-y,z'
'y,x,-z'
loop_
_atom_site_label
_atom_site_type_symbol
_atom_site_fract_x
_atom_site_fract_y
_atom_site_fract_z
_atom_site_occupancy
Ba1 Ba 0.000 0.500 0.241 1
Sn1 Sn 0.000 0.500 0.874 1
Sn2 Sn 0.500 0.500 0.500 1
Hg1 Hg 0.000 0.000 0.000 1
Hg2 Hg 0.000 0.500 0.641 1
Hg3 Hg 0.500 0.500 0.000 1
Bi1 Bi 0.000 0.000 0.500 1

***

(7)
# PBE BaSnHgBi, relaxed
# DFT formation energy in eV/atom: -0.37
# V in Å³ per atom: 33.4
# E above lowest polymorph in eV per formula unit: 0.00
# Calculated total energy in eV/cell: -46.4
data_BaSnHgBi
_chemical_formula_sum 'Ba4 Sn4 Hg4 Bi4'
_symmetry_space_group_name_H-M 'F -4 3 m'
_symmetry_Int_Tables_number 216
_symmetry_space_group_name_Hall 'F -4 2 3'
_cell_length_a 8.117
_cell_length_b 8.117
_cell_length_c 8.117
_cell_angle_alpha 90.00
_cell_angle_beta 90.00
_cell_angle_gamma 90.00
loop_
_atom_site_label
_atom_site_type_symbol
_atom_site_fract_x
_atom_site_fract_y
_atom_site_fract_z
_atom_site_occupancy
Ba1 Ba 0.000 0.000 0.000 1
Sn1 Sn 0.000 0.000 0.500 1
Hg1 Hg 0.250 0.250 0.250 1
Bi1 Bi 0.250 0.250 0.750 1

***

(8)
# PBE Ba2SnHg4Bi2, relaxed
# DFT formation energy in eV/atom: -0.40
# V in Å³ per atom: 33.6
# Calculated total energy in eV/cell: -40.8
data_Ba2SnHg4Bi2
_chemical_formula_sum 'Ba4 Sn2 Hg8 Bi4'
_symmetry_space_group_name_H-M 'I 4/m m m'
_symmetry_Int_Tables_number 139
_symmetry_space_group_name_Hall '-I 4 2'
_cell_length_a 7.324
_cell_length_b 7.324
_cell_length_c 11.272
_cell_angle_alpha 90.00
_cell_angle_beta 90.00
_cell_angle_gamma 90.00
loop_
_atom_site_label
_atom_site_type_symbol
_atom_site_fract_x
_atom_site_fract_y
_atom_site_fract_z
_atom_site_occupancy
Ba1 Ba 0.000 0.500 0.250 1
Sn1 Sn 0.000 0.000 0.000 1
Hg1 Hg 0.214 0.214 0.500 1
Bi1 Bi 0.000 0.000 0.279 1

***

(9)
# PBE Ba2SnHg4Bi3, relaxed
# DFT formation energy in eV/atom: -0.34
# V in Å³ per atom: 33.6
# Calculated total energy in eV/cell: -24.1
data_Ba2SnHg4Bi3
_chemical_formula_sum 'Ba2 Sn1 Hg4 Bi3'
_symmetry_space_group_name_H-M 'P -4 m 2'
_symmetry_Int_Tables_number 115
_cell_length_a 5.422
_cell_length_b 5.422
_cell_length_c 11.430
_cell_angle_alpha 90.00
_cell_angle_beta 90.00
_cell_angle_gamma 90.00
loop_
_symmetry_equiv_pos_as_xyz
'x,y,z'
'y,-x,-z'
'-x,-y,z'
'-y,x,-z'
'-x,y,z'
'-y,-x,-z'
'x,-y,z'
'y,x,-z'
loop_
_atom_site_label
_atom_site_type_symbol
_atom_site_fract_x
_atom_site_fract_y
_atom_site_fract_z
_atom_site_occupancy
Ba1 Ba 0.000 0.500 0.250 1
Sn1 Sn 0.000 0.000 0.500 1
Hg1 Hg 0.000 0.000 0.000 1
Hg2 Hg 0.000 0.500 0.618 1
Hg3 Hg 0.500 0.500 0.000 1
Bi1 Bi 0.000 0.500 0.874 1
Bi2 Bi 0.500 0.500 0.500 1

***

(10)
# PBE Ba3Sn2Hg2Bi4, relaxed
# DFT formation energy in eV/atom: -0.46
# V in Å³ per atom: 37.9
# Calculated total energy in eV/cell: -34.9
data_Ba3Sn2Hg2Bi4
_chemical_formula_sum 'Ba3 Sn2 Hg2 Bi4'
_symmetry_space_group_name_H-M 'P -3 m 1'
_symmetry_Int_Tables_number 164
_symmetry_space_group_name_Hall '-P 3 2"'
_cell_length_a 5.3901
_cell_length_b 5.3901
_cell_length_c 16.5622
_cell_angle_alpha 90.00
_cell_angle_beta 90.00
_cell_angle_gamma 120.00
loop_
_atom_site_label
_atom_site_type_symbol
_atom_site_fract_x
_atom_site_fract_y
_atom_site_fract_z
_atom_site_occupancy
Ba1 Ba 0.0000 0.0000 0.0000 1
Ba2 Ba 0.0000 0.0000 0.2686 1
Sn1 Sn 0.3333 0.6667 0.5764 1
Hg1 Hg 0.3333 0.6667 0.1679 1
Bi1 Bi 0.3333 0.6667 0.3875 1
Bi2 Bi 0.3333 0.6667 0.8706 1

***

- The lowest calculated total energy belongs to which entry?
  Ba2HgBiSe4

***

What did the ninth record say?
# PBE Ba2SnHg4Bi3, relaxed
# DFT formation energy in eV/atom: -0.34
# V in Å³ per atom: 33.6
# Calculated total energy in eV/cell: -24.1
data_Ba2SnHg4Bi3
_chemical_formula_sum 'Ba2 Sn1 Hg4 Bi3'
_symmetry_space_group_name_H-M 'P -4 m 2'
_symmetry_Int_Tables_number 115
_cell_length_a 5.422
_cell_length_b 5.422
_cell_length_c 11.430
_cell_angle_alpha 90.00
_cell_angle_beta 90.00
_cell_angle_gamma 90.00
loop_
_symmetry_equiv_pos_as_xyz
'x,y,z'
'y,-x,-z'
'-x,-y,z'
'-y,x,-z'
'-x,y,z'
'-y,-x,-z'
'x,-y,z'
'y,x,-z'
loop_
_atom_site_label
_atom_site_type_symbol
_atom_site_fract_x
_atom_site_fract_y
_atom_site_fract_z
_atom_site_occupancy
Ba1 Ba 0.000 0.500 0.250 1
Sn1 Sn 0.000 0.000 0.500 1
Hg1 Hg 0.000 0.000 0.000 1
Hg2 Hg 0.000 0.500 0.618 1
Hg3 Hg 0.500 0.500 0.000 1
Bi1 Bi 0.000 0.500 0.874 1
Bi2 Bi 0.500 0.500 0.500 1